This record from the Alexandria database describes a geometry-optimized TaN2Cl structure. The functional is PBE-GGA.

Output
N(E_F) = 0.2 states/eV/f.u.
spin magnetization = 0.00 μB per formula unit
formation energy without anion corrections = -74 kJ/mol of formula units
relative energy among the computed polymorphs = 0 meV/atom

```
data_TaN2Cl
_chemical_formula_sum 'Ta3 N6 Cl3'
_cell_length_a 3.2059
_cell_length_b 3.2059
_cell_length_c 18.4099
_cell_angle_alpha 90.00
_cell_angle_beta 90.00
_cell_angle_gamma 120.00
_symmetry_space_group_name_H-M 'R -3 m'
_symmetry_Int_Tables_number 166
_symmetry_space_group_name_Hall '-R 3 2"'
loop_
_atom_site_label
_atom_site_type_symbol
_atom_site_fract_x
_atom_site_fract_y
_atom_site_fract_z
_atom_site_occupancy
Ta1 Ta 0.0000 0.0000 0.0000 1
N1 N 0.0000 0.0000 0.3899 1
Cl1 Cl 0.0000 0.0000 0.5000 1
```


This record from the Alexandria database describes a geometry-optimized Ba2CaAg structure. The functional is PBE-GGA.

Output
E_form = -0.092 eV/atom
N(E_F) = 4.8 states/eV/f.u.
spin magnetization = 0.00 μB per formula unit
relative energy among the computed polymorphs = 41 meV/atom

```
data_Ba2CaAg
_chemical_formula_sum 'Ba4 Ca2 Ag2'
_cell_length_a 14.7072
_cell_length_b 4.1352
_cell_length_c 6.3301
_cell_angle_alpha 90.00
_cell_angle_beta 115.49
_cell_angle_gamma 90.00
_symmetry_space_group_name_H-M 'C 1 m 1'
_symmetry_Int_Tables_number 8
_symmetry_space_group_name_Hall 'C -2y'
loop_
_atom_site_label
_atom_site_type_symbol
_atom_site_fract_x
_atom_site_fract_y
_atom_site_fract_z
_atom_site_occupancy
Ba1 Ba 0.0000 0.0000 0.0000 1
Ba2 Ba 0.1920 0.0000 0.6920 1
Ca1 Ca 0.3089 0.5000 0.3090 1
Ag1 Ag 0.4846 0.0000 0.4858 1
```


This record from the Alexandria database describes a geometry-optimized TlMoP2 structure. The functional is PBE-GGA.

Output
E_form = 0.962 eV/atom
N(E_F) = 2.8 states/eV/f.u.
spin magnetization = 0.00 μB per formula unit
relative energy among the computed polymorphs = 1050 meV/atom

```
data_TlMoP2
_chemical_formula_sum 'Tl4 Mo4 P8'
_cell_length_a 6.5457
_cell_length_b 6.5457
_cell_length_c 6.5457
_cell_angle_alpha 90.00
_cell_angle_beta 90.00
_cell_angle_gamma 90.00
_symmetry_space_group_name_H-M 'F -4 3 m'
_symmetry_Int_Tables_number 216
_symmetry_space_group_name_Hall 'F -4 2 3'
loop_
_atom_site_label
_atom_site_type_symbol
_atom_site_fract_x
_atom_site_fract_y
_atom_site_fract_z
_atom_site_occupancy
Tl1 Tl 0.0000 0.0000 0.0000 1
Mo1 Mo 0.2500 0.2500 0.7500 1
P1 P 0.0000 0.0000 0.5000 1
P2 P 0.2500 0.2500 0.2500 1
```


This record from the Alexandria database describes a geometry-optimized NbAlP2S structure. The functional is PBE-GGA.

Output
N(E_F) = 5.4 states/eV/f.u.
spin magnetization = 0.00 μB per formula unit
formation energy without anion corrections = 314 kJ/mol of formula units
relative energy among the computed polymorphs = 407 meV/atom

```
data_NbAlP2S
_chemical_formula_sum 'Nb1 Al1 P2 S1'
_cell_length_a 4.5514
_cell_length_b 4.5514
_cell_length_c 4.4968
_cell_angle_alpha 90.00
_cell_angle_beta 90.00
_cell_angle_gamma 90.00
_symmetry_space_group_name_H-M 'P 4/m m m'
_symmetry_Int_Tables_number 123
_symmetry_space_group_name_Hall '-P 4 2'
loop_
_atom_site_label
_atom_site_type_symbol
_atom_site_fract_x
_atom_site_fract_y
_atom_site_fract_z
_atom_site_occupancy
Nb1 Nb 0.0000 0.0000 0.0000 1
Al1 Al 0.5000 0.5000 0.5000 1
P1 P 0.0000 0.5000 0.5000 1
S1 S 0.5000 0.5000 0.0000 1
```


This record from the Alexandria database describes a geometry-optimized Ac7SnN2 structure. The functional is PBE-GGA.

Output
N(E_F) = 10.0 states/eV/f.u.
spin magnetization = 0.00 μB per formula unit
formation energy without anion corrections = -406 kJ/mol of formula units

```
data_Ac7SnN2
_chemical_formula_sum 'Ac14 Sn2 N4'
_cell_length_a 9.1380
_cell_length_b 18.9640
_cell_length_c 4.1191
_cell_angle_alpha 90.00
_cell_angle_beta 90.00
_cell_angle_gamma 90.00
_symmetry_space_group_name_H-M 'C m m m'
_symmetry_Int_Tables_number 65
_symmetry_space_group_name_Hall '-C 2 2'
loop_
_atom_site_label
_atom_site_type_symbol
_atom_site_fract_x
_atom_site_fract_y
_atom_site_fract_z
_atom_site_occupancy
Ac1 Ac 0.0000 0.0000 0.0000 1
Ac2 Ac 0.0000 0.2102 0.5000 1
Ac3 Ac 0.2041 0.3836 0.0000 1
Sn1 Sn 0.0000 0.5000 0.5000 1
N1 N 0.0000 0.1347 0.0000 1
```


This record from the Alexandria database describes a geometry-optimized La3SmTlNi structure. The functional is PBE-GGA.

Output
E_form = -0.246 eV/atom
N(E_F) = 7.2 states/eV/f.u.
spin magnetization = 0.00 μB per formula unit

```
data_La3SmTlNi
_chemical_formula_sum 'La12 Sm4 Tl4 Ni4'
_cell_length_a 17.1068
_cell_length_b 7.2130
_cell_length_c 6.3302
_cell_angle_alpha 90.00
_cell_angle_beta 111.59
_cell_angle_gamma 90.00
_symmetry_space_group_name_H-M 'C 1 2/m 1'
_symmetry_Int_Tables_number 12
_symmetry_space_group_name_Hall '-C 2y'
loop_
_atom_site_label
_atom_site_type_symbol
_atom_site_fract_x
_atom_site_fract_y
_atom_site_fract_z
_atom_site_occupancy
La1 La 0.1174 0.2466 0.1159 1
La2 La 0.1940 0.5000 0.6914 1
Sm1 Sm 0.0000 0.2392 0.5000 1
Tl1 Tl 0.1913 0.0000 0.6913 1
Ni1 Ni 0.9997 0.5000 0.1964 1
```


This record from the Alexandria database describes a geometry-optimized Li2AcHo2Pb2 structure. The functional is PBE-GGA.

Output
E_form = -0.333 eV/atom
N(E_F) = 4.6 states/eV/f.u.
spin magnetization = 0.00 μB per formula unit

```
data_Li2AcHo2Pb2
_chemical_formula_sum 'Li6 Ac3 Ho6 Pb6'
_cell_length_a 4.9308
_cell_length_b 4.9308
_cell_length_c 27.9667
_cell_angle_alpha 90.00
_cell_angle_beta 90.00
_cell_angle_gamma 120.00
_symmetry_space_group_name_H-M 'R -3 m'
_symmetry_Int_Tables_number 166
_symmetry_space_group_name_Hall '-R 3 2"'
loop_
_atom_site_label
_atom_site_type_symbol
_atom_site_fract_x
_atom_site_fract_y
_atom_site_fract_z
_atom_site_occupancy
Li1 Li 0.0000 0.0000 0.0765 1
Ac1 Ac 0.0000 0.0000 0.5000 1
Ho1 Ho 0.0000 0.0000 0.3672 1
Pb1 Pb 0.0000 0.0000 0.2442 1
```


This record from the Alexandria database describes a geometry-optimized Sr2CeNdBi4 structure. The functional is PBE-GGA.

Output
E_form = -0.807 eV/atom
N(E_F) = 6.6 states/eV/f.u.
spin magnetization = 0.00 μB per formula unit

```
data_Sr2CeNdBi4
_chemical_formula_sum 'Sr2 Ce1 Nd1 Bi4'
_cell_length_a 8.1480
_cell_length_b 4.6889
_cell_length_c 8.2289
_cell_angle_alpha 90.00
_cell_angle_beta 109.30
_cell_angle_gamma 90.00
_symmetry_space_group_name_H-M 'P 1 2/m 1'
_symmetry_Int_Tables_number 10
_symmetry_space_group_name_Hall '-P 2y'
loop_
_atom_site_label
_atom_site_type_symbol
_atom_site_fract_x
_atom_site_fract_y
_atom_site_fract_z
_atom_site_occupancy
Sr1 Sr 0.0000 0.0000 0.0000 1
Sr2 Sr 0.5000 0.5000 0.0000 1
Ce1 Ce 0.0000 0.5000 0.5000 1
Nd1 Nd 0.5000 0.0000 0.5000 1
Bi1 Bi 0.2375 0.0000 0.7264 1
Bi2 Bi 0.2525 0.5000 0.2701 1
```